Below is crystalline Ho3Zn2Pd3 at its relaxed geometry, with properties calculated at the PBE level.

Summary:
E_form	-698.0	meV per atom

abc: 8.2221 8.2221 5.5589
angles: 90.00 90.00 120.00
Closest atoms and distances in Å follow each position.
Fractional positions:
Ho  0.0000  0.2674  0.2500  5 Pd 2.77-2.97
Ho  0.0000  0.7326  0.7500  5 Pd 2.77-2.97
Ho  0.2674  0.0000  0.2500  5 Pd 2.77-2.97
Ho  0.2674  0.2674  0.7500  5 Pd 2.77-2.97
Ho  0.7326  0.0000  0.7500  5 Pd 2.77-2.97
Ho  0.7326  0.7326  0.2500  5 Pd 2.77-2.97
Zn  0.3333  0.6667  0.0000  2 Zn 2.78, 6 Pd 2.88
Zn  0.3333  0.6667  0.5000  2 Zn 2.78, 6 Pd 2.88
Zn  0.6667  0.3333  0.0000  2 Zn 2.78, 6 Pd 2.88
Zn  0.6667  0.3333  0.5000  2 Zn 2.78, 6 Pd 2.88
Pd  0.0000  0.3960  0.7500  5 Ho 2.77-2.97, 4 Zn 2.88
Pd  0.0000  0.6040  0.2500  5 Ho 2.77-2.97, 4 Zn 2.88
Pd  0.3960  0.0000  0.7500  5 Ho 2.77-2.97, 4 Zn 2.88
Pd  0.3960  0.3960  0.2500  5 Ho 2.77-2.97, 4 Zn 2.88
Pd  0.6040  0.0000  0.2500  5 Ho 2.77-2.97, 4 Zn 2.88
Pd  0.6040  0.6040  0.7500  5 Ho 2.77-2.97, 4 Zn 2.88

=====

Below is crystalline Ti6GaPd5 at its relaxed geometry, with properties calculated at the PBE level.

Summary:
E_form	-512.6	meV per atom

abc: 7.4230 7.4230 7.4230
angles: 149.02 115.49 73.28
Closest atoms and distances in Å follow each position.
Fractional positions:
Ti  0.0806  0.3324  0.7482  7 Pd 2.79-2.83, 4 Ti 2.79-2.81, 1 Ga 2.82
Ti  0.2453  0.0000  0.2453  6 Pd 2.78-2.80, 4 Ti 2.81, 2 Ga 2.83
Ti  0.4157  0.6676  0.7482  7 Pd 2.79-2.83, 4 Ti 2.79-2.81, 1 Ga 2.82
Ti  0.5843  0.3324  0.2518  7 Pd 2.79-2.83, 4 Ti 2.79-2.81, 1 Ga 2.82
Ti  0.7547  0.0000  0.7547  6 Pd 2.78-2.80, 4 Ti 2.81, 2 Ga 2.83
Ti  0.9194  0.6676  0.2518  7 Pd 2.79-2.83, 4 Ti 2.79-2.81, 1 Ga 2.82
Ga  0.5000  0.5000  0.0000  4 Pd 2.76, 8 Ti 2.82-2.83
Pd  0.0000  0.5000  0.5000  8 Ti 2.78-2.80, 4 Pd 2.83
Pd  0.1690  0.1690  0.0000  8 Ti 2.79-2.80, 4 Pd 2.83
Pd  0.3384  0.8384  0.5000  2 Ga 2.76, 8 Ti 2.79-2.83, 2 Pd 2.83
Pd  0.6616  0.1616  0.5000  2 Ga 2.76, 8 Ti 2.79-2.83, 2 Pd 2.83
Pd  0.8310  0.8310  0.0000  8 Ti 2.79-2.80, 4 Pd 2.83

=====

Below is crystalline TiNbCN at its relaxed geometry, with properties calculated at the PBE level.

Summary:
formation energy without anion corrections	-0.91	eV per atom

abc: 3.0607 3.0607 15.9990
angles: 90.00 90.00 120.00
Closest atoms and distances in Å follow each position.
Fractional positions:
Ti  0.0000  0.0000  0.0000  3 C 2.13, 3 N 2.29
Ti  0.3333  0.6667  0.6667  3 C 2.13, 3 N 2.29
Ti  0.6667  0.3333  0.3333  3 C 2.13, 3 N 2.29
Nb  0.0000  0.0000  0.8207  3 C 2.18, 3 N 2.26
Nb  0.3333  0.6667  0.4873  3 C 2.18, 3 N 2.26
Nb  0.6667  0.3333  0.1540  3 C 2.18, 3 N 2.26
C  0.0000  0.0000  0.4076  3 Ti 2.13, 3 Nb 2.18
C  0.3333  0.6667  0.0743  3 Ti 2.13, 3 Nb 2.18
C  0.6667  0.3333  0.7410  3 Ti 2.13, 3 Nb 2.18
N  0.0000  0.0000  0.2420  3 Nb 2.26, 3 Ti 2.29
N  0.3333  0.6667  0.9086  3 Nb 2.26, 3 Ti 2.29
N  0.6667  0.3333  0.5753  3 Nb 2.26, 3 Ti 2.29

=====

Below is crystalline Ca3MgCu3 at its relaxed geometry, with properties calculated at the PBE level.

Summary:
offset from the most stable computed form	85	meV per atom
E_form	-55.9	meV per atom

abc: 9.9859 9.9859 4.2418
angles: 90.00 90.00 120.00
Closest atoms and distances in Å follow each position.
Fractional positions:
Ca  0.0689  0.6892  0.2500  4 Cu 2.95-3.06
Ca  0.3108  0.3797  0.2500  4 Cu 2.95-3.06
Ca  0.3797  0.0689  0.7500  4 Cu 2.95-3.06
Ca  0.6203  0.9311  0.2500  4 Cu 2.95-3.06
Ca  0.6892  0.6203  0.7500  4 Cu 2.95-3.06
Ca  0.9311  0.3108  0.7500  4 Cu 2.95-3.06
Mg  0.3333  0.6667  0.7500  9 Ca 3.48-3.81
Mg  0.6667  0.3333  0.2500  9 Ca 3.48-3.81
Cu  0.0297  0.8728  0.7500  6 Cu 2.50-2.56
Cu  0.1272  0.1570  0.7500  6 Cu 2.50-2.56
Cu  0.1570  0.0297  0.2500  6 Cu 2.50-2.56
Cu  0.8430  0.9703  0.7500  6 Cu 2.50-2.56
Cu  0.8728  0.8430  0.2500  6 Cu 2.50-2.56
Cu  0.9703  0.1272  0.2500  6 Cu 2.50-2.56

=====

Number 1: final energy -4.680 eV per atom. Number 2: final energy -6.876 eV per atom. Number 3: final energy -9.785 eV per atom. Number 4: final energy -2.897 eV per atom.